(1)
# ScTlSi

A geometry-optimized ScTlSi structure (GGA-PBE, Alexandria).

Geometry as CIF:
```
data_ScTlSi
_chemical_formula_sum 'Sc1 Tl1 Si1'
_space_group_name_H-M_alt 'P 3 m 1'
_space_group_IT_number 156
_cell_length_a 3.2586
_cell_length_b 3.2586
_cell_length_c 7.1933
_cell_angle_alpha 90.00
_cell_angle_beta 90.00
_cell_angle_gamma 120.00
loop_
_space_group_symop_operation_xyz
'x,y,z'
'-y,x-y,z'
'-x+y,-x,z'
'-y,-x,z'
'-x+y,y,z'
'x,x-y,z'
loop_
_atom_site_label
_atom_site_fract_x
_atom_site_fract_y
_atom_site_fract_z
_atom_site_occupancy
Sc1 0.0000 0.0000 0.0000 1
Tl1 0.3333 0.6667 0.6378 1
Si1 0.6667 0.3333 0.2927 1
```

Output
Magnetization: 0.003 μB per cell
Calculated total energy: -4.560 eV/atom
E_form (uncorrected): 0.15 eV/atom

***

(2)
# ScTlSi

A geometry-optimized ScTlSi structure (GGA-PBE, Alexandria).

Geometry as CIF:
```
data_ScTlSi
_chemical_formula_sum 'Sc2 Tl2 Si2'
_space_group_name_H-M_alt 'I 4 m m'
_space_group_IT_number 107
_space_group_name_Hall 'I 4 -2'
_cell_length_a 3.358
_cell_length_b 3.358
_cell_length_c 11.506
_cell_angle_alpha 90.00
_cell_angle_beta 90.00
_cell_angle_gamma 90.00
loop_
_atom_site_label
_atom_site_fract_x
_atom_site_fract_y
_atom_site_fract_z
_atom_site_occupancy
Sc1 0.000 0.000 0.000 1
Tl1 0.000 0.000 0.700 1
Si1 0.000 0.000 0.372 1
```

Output
Magnetization: 0.000 μB per cell
Calculated total energy: -4.723 eV/atom
E_form (uncorrected): -0.02 eV/atom

***

(3)
# ScTl2Si

A geometry-optimized ScTl2Si structure (GGA-PBE, Alexandria).

Geometry as CIF:
```
data_ScTl2Si
_chemical_formula_sum 'Sc2 Tl4 Si2'
_space_group_name_H-M_alt 'C m m m'
_space_group_IT_number 65
_space_group_name_Hall '-C 2 2'
_cell_length_a 6.068
_cell_length_b 9.014
_cell_length_c 3.383
_cell_angle_alpha 90.00
_cell_angle_beta 90.00
_cell_angle_gamma 90.00
loop_
_atom_site_label
_atom_site_fract_x
_atom_site_fract_y
_atom_site_fract_z
_atom_site_occupancy
Sc1 0.000 0.000 0.000 1
Tl1 0.250 0.250 0.500 1
Si1 0.000 0.500 0.000 1
```

Output
Magnetization: 0.001 μB per cell
Calculated total energy: -3.991 eV/atom
E_form (uncorrected): 0.13 eV/atom

***

(4)
# ScTl2Si

A geometry-optimized ScTl2Si structure (GGA-PBE, Alexandria).

Geometry as CIF:
```
data_ScTl2Si
_chemical_formula_sum 'Sc2 Tl4 Si2'
_space_group_name_H-M_alt 'I 4/m m m'
_space_group_IT_number 139
_space_group_name_Hall '-I 4 2'
_cell_length_a 4.219
_cell_length_b 4.219
_cell_length_c 10.171
_cell_angle_alpha 90.00
_cell_angle_beta 90.00
_cell_angle_gamma 90.00
loop_
_atom_site_label
_atom_site_fract_x
_atom_site_fract_y
_atom_site_fract_z
_atom_site_occupancy
Sc1 0.000 0.000 0.000 1
Tl1 0.000 0.500 0.250 1
Si1 0.000 0.000 0.500 1
```

Output
Magnetization: 0.000 μB per cell
Calculated total energy: -4.075 eV/atom
E_form (uncorrected): 0.05 eV/atom

***

(5)
# Sc2TlSi

A geometry-optimized Sc2TlSi structure (GGA-PBE, Alexandria).

Geometry as CIF:
```
data_Sc2TlSi
_chemical_formula_sum 'Sc4 Tl2 Si2'
_space_group_name_H-M_alt 'C m m 2'
_space_group_IT_number 35
_cell_length_a 4.383
_cell_length_b 5.227
_cell_length_c 7.815
_cell_angle_alpha 90.00
_cell_angle_beta 90.00
_cell_angle_gamma 90.00
loop_
_space_group_symop_operation_xyz
'x,y,z'
'-x,-y,z'
'-x,y,z'
'x,-y,z'
'x+1/2,y+1/2,z'
'-x+1/2,-y+1/2,z'
'-x+1/2,y+1/2,z'
'x+1/2,-y+1/2,z'
loop_
_atom_site_label
_atom_site_fract_x
_atom_site_fract_y
_atom_site_fract_z
_atom_site_occupancy
Sc1 0.000 0.000 0.000 1
Sc2 0.000 0.500 0.290 1
Tl1 0.000 0.500 0.724 1
Si1 0.000 0.000 0.485 1
```

Output
Magnetization: 0.000 μB per cell
Calculated total energy: -5.118 eV/atom
E_form (uncorrected): 0.00 eV/atom

***

(6)
# Sc2TlSi

A geometry-optimized Sc2TlSi structure (GGA-PBE, Alexandria).

Geometry as CIF:
```
data_Sc2TlSi
_chemical_formula_sum 'Sc8 Tl4 Si4'
_space_group_name_H-M_alt 'I -4 2 d'
_space_group_IT_number 122
_space_group_name_Hall 'I -4 2bw'
_cell_length_a 7.603
_cell_length_b 7.603
_cell_length_c 6.359
_cell_angle_alpha 90.00
_cell_angle_beta 90.00
_cell_angle_gamma 90.00
loop_
_atom_site_label
_atom_site_fract_x
_atom_site_fract_y
_atom_site_fract_z
_atom_site_occupancy
Sc1 0.220 0.250 0.125 1
Tl1 0.000 0.000 0.500 1
Si1 0.000 0.000 0.000 1
```

Output
Magnetization: 0.000 μB per cell
Calculated total energy: -5.244 eV/atom
E_form (uncorrected): -0.13 eV/atom

***

(7)
# ScTlSi2

A geometry-optimized ScTlSi2 structure (GGA-PBE, Alexandria).

Geometry as CIF:
```
data_ScTlSi2
_chemical_formula_sum 'Sc4 Tl4 Si8'
_space_group_name_H-M_alt 'F m -3 m'
_space_group_IT_number 225
_space_group_name_Hall '-F 4 2 3'
_cell_length_a 6.927
_cell_length_b 6.927
_cell_length_c 6.927
_cell_angle_alpha 90.00
_cell_angle_beta 90.00
_cell_angle_gamma 90.00
loop_
_atom_site_label
_atom_site_fract_x
_atom_site_fract_y
_atom_site_fract_z
_atom_site_occupancy
Sc1 0.000 0.000 0.000 1
Tl1 0.000 0.000 0.500 1
Si1 0.250 0.250 0.250 1
```

Output
Magnetization: 0.000 μB per cell
Calculated total energy: -4.581 eV/atom
E_form (uncorrected): 0.31 eV/atom

***

(8)
# Sc2TlSi

A geometry-optimized Sc2TlSi structure (GGA-PBE, Alexandria).

Geometry as CIF:
```
data_Sc2TlSi
_chemical_formula_sum 'Sc8 Tl4 Si4'
_space_group_name_H-M_alt 'F -4 3 m'
_space_group_IT_number 216
_space_group_name_Hall 'F -4 2 3'
_cell_length_a 7.057
_cell_length_b 7.057
_cell_length_c 7.057
_cell_angle_alpha 90.00
_cell_angle_beta 90.00
_cell_angle_gamma 90.00
loop_
_atom_site_label
_atom_site_fract_x
_atom_site_fract_y
_atom_site_fract_z
_atom_site_occupancy
Sc1 0.000 0.000 0.000 1
Sc2 0.250 0.250 0.250 1
Tl1 0.250 0.250 0.750 1
Si1 0.000 0.000 0.500 1
```

Output
Magnetization: 3.962 μB per cell
Calculated total energy: -4.889 eV/atom
E_form (uncorrected): 0.22 eV/atom

***

(9)
# Sc2TlSi

A geometry-optimized Sc2TlSi structure (GGA-PBE, Alexandria).

Geometry as CIF:
```
data_Sc2TlSi
_chemical_formula_sum 'Sc4 Tl2 Si2'
_space_group_name_H-M_alt 'C 1 2/m 1'
_space_group_IT_number 12
_cell_length_a 6.408
_cell_length_b 8.072
_cell_length_c 3.187
_cell_angle_alpha 90.00
_cell_angle_beta 90.17
_cell_angle_gamma 90.00
loop_
_space_group_symop_operation_xyz
'x,y,z'
'-x,-y,-z'
'-x,y,-z'
'x,-y,z'
'x+1/2,y+1/2,z'
'-x+1/2,-y+1/2,-z'
'-x+1/2,y+1/2,-z'
'x+1/2,-y+1/2,z'
loop_
_atom_site_label
_atom_site_fract_x
_atom_site_fract_y
_atom_site_fract_z
_atom_site_occupancy
Sc1 0.250 0.250 0.000 1
Tl1 0.000 0.000 0.500 1
Si1 0.000 0.500 0.500 1
```

Output
Magnetization: 0.001 μB per cell
Calculated total energy: -5.416 eV/atom
E_form (uncorrected): -0.30 eV/atom

***

(10)
# Sc3TlSi

A geometry-optimized Sc3TlSi structure (GGA-PBE, Alexandria).

Geometry as CIF:
```
data_Sc3TlSi
_chemical_formula_sum 'Sc3 Tl1 Si1'
_space_group_name_H-M_alt 'P m -3 m'
_space_group_IT_number 221
_space_group_name_Hall '-P 4 2 3'
_cell_length_a 5.264
_cell_length_b 5.264
_cell_length_c 5.264
_cell_angle_alpha 90.00
_cell_angle_beta 90.00
_cell_angle_gamma 90.00
loop_
_atom_site_label
_atom_site_fract_x
_atom_site_fract_y
_atom_site_fract_z
_atom_site_occupancy
Sc1 0.000 0.000 0.500 1
Tl1 0.000 0.000 0.000 1
Si1 0.500 0.500 0.500 1
```

Output
Magnetization: 0.000 μB per cell
Calculated total energy: -4.785 eV/atom
E_form (uncorrected): 0.57 eV/atom

***

(11)
# ScTlSi2

A geometry-optimized ScTlSi2 structure (GGA-PBE, Alexandria).

Geometry as CIF:
```
data_ScTlSi2
_chemical_formula_sum 'Sc1 Tl1 Si2'
_space_group_name_H-M_alt 'P 4 m m'
_space_group_IT_number 99
_cell_length_a 3.419
_cell_length_b 3.419
_cell_length_c 6.720
_cell_angle_alpha 90.00
_cell_angle_beta 90.00
_cell_angle_gamma 90.00
loop_
_space_group_symop_operation_xyz
'x,y,z'
'-y,x,z'
'-x,-y,z'
'y,-x,z'
'-x,y,z'
'y,x,z'
'x,-y,z'
'-y,-x,z'
loop_
_atom_site_label
_atom_site_fract_x
_atom_site_fract_y
_atom_site_fract_z
_atom_site_occupancy
Sc1 0.000 0.000 0.000 1
Tl1 0.500 0.500 0.680 1
Si1 0.000 0.000 0.395 1
Si2 0.500 0.500 0.237 1
```

Output
Magnetization: 0.000 μB per cell
Calculated total energy: -4.857 eV/atom
E_form (uncorrected): 0.03 eV/atom

***

(12)
# Sc2TlSi

A geometry-optimized Sc2TlSi structure (GGA-PBE, Alexandria).

Geometry as CIF:
```
data_Sc2TlSi
_chemical_formula_sum 'Sc2 Tl1 Si1'
_space_group_name_H-M_alt 'P 4 m m'
_space_group_IT_number 99
_cell_length_a 3.862
_cell_length_b 3.862
_cell_length_c 5.922
_cell_angle_alpha 90.00
_cell_angle_beta 90.00
_cell_angle_gamma 90.00
loop_
_space_group_symop_operation_xyz
'x,y,z'
'-y,x,z'
'-x,-y,z'
'y,-x,z'
'-x,y,z'
'y,x,z'
'x,-y,z'
'-y,-x,z'
loop_
_atom_site_label
_atom_site_fract_x
_atom_site_fract_y
_atom_site_fract_z
_atom_site_occupancy
Sc1 0.000 0.000 0.000 1
Sc2 0.500 0.500 0.294 1
Tl1 0.500 0.500 0.774 1
Si1 0.000 0.000 0.454 1
```

Output
Magnetization: 0.000 μB per cell
Calculated total energy: -5.257 eV/atom
E_form (uncorrected): -0.14 eV/atom

***

(13)
# ScTl2Si

A geometry-optimized ScTl2Si structure (GGA-PBE, Alexandria).

Geometry as CIF:
```
data_ScTl2Si
_chemical_formula_sum 'Sc1 Tl2 Si1'
_space_group_name_H-M_alt 'P m m 2'
_space_group_IT_number 25
_cell_length_a 3.334
_cell_length_b 4.027
_cell_length_c 7.404
_cell_angle_alpha 90.00
_cell_angle_beta 90.00
_cell_angle_gamma 90.00
loop_
_space_group_symop_operation_xyz
'x,y,z'
'-x,-y,z'
'-x,y,z'
'x,-y,z'
loop_
_atom_site_label
_atom_site_fract_x
_atom_site_fract_y
_atom_site_fract_z
_atom_site_occupancy
Sc1 0.000 0.000 0.000 1
Tl1 0.000 0.000 0.422 1
Tl2 0.500 0.500 0.713 1
Si1 0.500 0.500 0.109 1
```

Output
Magnetization: 0.000 μB per cell
Calculated total energy: -4.175 eV/atom
E_form (uncorrected): -0.05 eV/atom

***

(14)
# ScTlSi2

A geometry-optimized ScTlSi2 structure (GGA-PBE, Alexandria).

Geometry as CIF:
```
data_ScTlSi2
_chemical_formula_sum 'Sc2 Tl2 Si4'
_space_group_name_H-M_alt 'C 1 2/m 1'
_space_group_IT_number 12
_cell_length_a 9.573
_cell_length_b 3.688
_cell_length_c 5.200
_cell_angle_alpha 90.00
_cell_angle_beta 107.60
_cell_angle_gamma 90.00
loop_
_space_group_symop_operation_xyz
'x,y,z'
'-x,-y,-z'
'-x,y,-z'
'x,-y,z'
'x+1/2,y+1/2,z'
'-x+1/2,-y+1/2,-z'
'-x+1/2,y+1/2,-z'
'x+1/2,-y+1/2,z'
loop_
_atom_site_label
_atom_site_fract_x
_atom_site_fract_y
_atom_site_fract_z
_atom_site_occupancy
Sc1 0.000 0.000 0.000 1
Tl1 0.000 0.500 0.500 1
Si1 0.231 0.500 0.128 1
```

Output
Magnetization: 0.000 μB per cell
Calculated total energy: -4.962 eV/atom
E_form (uncorrected): -0.08 eV/atom

***

(15)
# Sc4TlSi

A geometry-optimized Sc4TlSi structure (GGA-PBE, Alexandria).

Geometry as CIF:
```
data_Sc4TlSi
_chemical_formula_sum 'Sc16 Tl4 Si4'
_space_group_name_H-M_alt 'F -4 3 m'
_space_group_IT_number 216
_space_group_name_Hall 'F -4 2 3'
_cell_length_a 8.173
_cell_length_b 8.173
_cell_length_c 8.173
_cell_angle_alpha 90.00
_cell_angle_beta 90.00
_cell_angle_gamma 90.00
loop_
_atom_site_label
_atom_site_fract_x
_atom_site_fract_y
_atom_site_fract_z
_atom_site_occupancy
Sc1 0.124 0.124 0.124 1
Tl1 0.000 0.000 0.500 1
Si1 0.250 0.250 0.750 1
```

Output
Magnetization: 0.004 μB per cell
Calculated total energy: -5.262 eV/atom
E_form (uncorrected): 0.26 eV/atom